No. 1
## KMgTlO2 (GGA-PBE)

Data for crystalline KMgTlO2 at its relaxed geometry. Values from VASP.

## Properties
VASP energy = -3.490 eV per atom
SG = P4/mmm
Calculated density = 5.58 g/cm3
Raw formation energy = -495 meV/atom

Structure (Quantum ESPRESSO input):
```
&SYSTEM
  ibrav = 0, nat = 5, ntyp = 4
/
ATOMIC_SPECIES
O 16.00 O.upf
K 39.10 K.upf
Mg 24.30 Mg.upf
Tl 204.38 Tl.upf
CELL_PARAMETERS angstrom
4.258 0.000 0.000
0.000 4.921 0.000
0.000 0.000 4.258
ATOMIC_POSITIONS crystal
O 0.500 0.000 0.000
K 0.000 0.500 0.000
Mg 0.000 0.000 0.000
O 0.000 0.000 0.500
Tl 0.500 0.500 0.500
```

***

No. 2
## KTmMgO3 (GGA-PBE)

Data for crystalline KTmMgO3 at its relaxed geometry. Values from VASP.

## Properties
VASP energy = -6.300 eV per atom
SG = P2_1/m
Calculated density = 4.13 g/cm3
Raw formation energy = -2627 meV/atom

Structure (Quantum ESPRESSO input):
```
&SYSTEM
  ibrav = 0, nat = 12, ntyp = 4
/
ATOMIC_SPECIES
K 39.10 K.upf
Mg 24.30 Mg.upf
O 16.00 O.upf
Tm 168.93 Tm.upf
CELL_PARAMETERS angstrom
3.497 0.000 0.000
0.000 7.145 -0.519
0.000 -3.447 9.262
ATOMIC_POSITIONS crystal
K 0.250 0.208 0.162
Mg 0.750 0.966 0.387
O 0.750 0.465 0.108
Tm 0.250 0.681 0.138
O 0.250 0.535 0.892
O 0.250 0.843 0.396
K 0.750 0.792 0.838
Tm 0.750 0.319 0.862
Mg 0.250 0.034 0.613
O 0.250 0.091 0.828
O 0.750 0.157 0.604
O 0.750 0.909 0.172
```

***

No. 3
## K3Mg2UO6 (GGA-PBE)

Data for crystalline K3Mg2UO6 at its relaxed geometry. Values from VASP.

## Properties
VASP energy = -6.354 eV per atom
SG = C2/m
Calculated density = 4.78 g/cm3
Raw formation energy = -2394 meV/atom

Structure (Quantum ESPRESSO input):
```
&SYSTEM
  ibrav = 0, nat = 12, ntyp = 4
/
ATOMIC_SPECIES
O 16.00 O.upf
Mg 24.30 Mg.upf
U 238.03 U.upf
K 39.10 K.upf
CELL_PARAMETERS angstrom
5.696 -0.006 0.006
-2.852 4.931 0.006
-0.943 -1.632 6.187
ATOMIC_POSITIONS crystal
O 0.732 0.732 0.182
Mg 0.333 0.667 0.000
O 0.611 0.939 0.820
O 0.389 0.061 0.180
U 0.000 0.000 0.000
Mg 0.667 0.333 0.000
O 0.061 0.389 0.180
K 0.500 0.500 0.500
O 0.268 0.268 0.818
K 0.174 0.826 0.500
K 0.826 0.174 0.500
O 0.939 0.611 0.820
```

***

No. 4
## KMg2UO6 (GGA-PBE)

Data for crystalline KMg2UO6 at its relaxed geometry. Values from VASP.

## Properties
VASP energy = -7.022 eV per atom
SG = C2/c
Calculated density = 4.63 g/cm3
Raw formation energy = -2490 meV/atom

Structure (Quantum ESPRESSO input):
```
&SYSTEM
  ibrav = 0, nat = 20, ntyp = 4
/
ATOMIC_SPECIES
O 16.00 O.upf
Mg 24.30 Mg.upf
U 238.03 U.upf
K 39.10 K.upf
CELL_PARAMETERS angstrom
6.041 -0.994 -1.032
0.810 6.963 -0.481
0.810 -0.738 6.941
ATOMIC_POSITIONS crystal
O 0.583 0.366 0.734
Mg 0.343 0.751 0.563
O 0.917 0.266 0.634
Mg 0.657 0.249 0.437
O 0.319 0.275 0.415
U 0.750 0.708 0.292
O 0.671 0.985 0.291
O 0.681 0.725 0.585
U 0.250 0.292 0.708
O 0.171 0.291 0.985
Mg 0.843 0.563 0.751
K 0.750 0.082 0.918
O 0.417 0.634 0.266
O 0.083 0.734 0.366
O 0.819 0.415 0.275
O 0.181 0.585 0.725
K 0.250 0.918 0.082
Mg 0.157 0.437 0.249
O 0.329 0.015 0.709
O 0.829 0.709 0.015
```

***

No. 5
## KMgUO4 (GGA-PBE)

Data for crystalline KMgUO4 at its relaxed geometry. Values from VASP.

## Properties
VASP energy = -7.297 eV per atom
SG = Cmcm
Calculated density = 4.62 g/cm3
Raw formation energy = -2467 meV/atom

Structure (Quantum ESPRESSO input):
```
&SYSTEM
  ibrav = 0, nat = 14, ntyp = 4
/
ATOMIC_SPECIES
U 238.03 U.upf
Mg 24.30 Mg.upf
O 16.00 O.upf
K 39.10 K.upf
CELL_PARAMETERS angstrom
-0.985 -4.067 4.822
-0.206 -2.324 -5.943
7.142 -1.383 0.293
ATOMIC_POSITIONS crystal
U 0.830 0.170 0.250
Mg 0.896 0.104 0.750
O 0.799 0.201 0.977
O 0.236 0.176 0.750
O 0.799 0.201 0.523
O 0.201 0.799 0.477
K 0.500 0.500 0.500
U 0.170 0.830 0.750
O 0.824 0.764 0.750
Mg 0.104 0.896 0.250
O 0.764 0.824 0.250
K 0.500 0.500 0.000
O 0.176 0.236 0.250
O 0.201 0.799 0.023
```

***

No. 6
## K2MgUO6 (GGA-PBE)

Data for crystalline K2MgUO6 at its relaxed geometry. Values from VASP.

## Properties
VASP energy = -6.724 eV per atom
SG = Fm-3m
Calculated density = 4.99 g/cm3
Raw formation energy = -2241 meV/atom

Structure (Quantum ESPRESSO input):
```
&SYSTEM
  ibrav = 0, nat = 10, ntyp = 4
/
ATOMIC_SPECIES
Mg 24.30 Mg.upf
O 16.00 O.upf
U 238.03 U.upf
K 39.10 K.upf
CELL_PARAMETERS angstrom
5.899 0.000 0.000
0.001 5.899 0.000
2.950 2.950 4.171
ATOMIC_POSITIONS crystal
Mg 0.000 0.000 0.000
O 0.254 0.746 0.000
O 0.746 0.254 0.000
O 0.254 0.254 0.000
O 0.746 0.746 0.000
O 0.254 0.254 0.492
O 0.746 0.746 0.508
U 0.500 0.500 0.000
K 0.250 0.750 0.500
K 0.750 0.250 0.500
```

***

> What is the VASP energy in the fifth record?

-7.297 eV per atom

***

> Look up the VASP energy of the fifth one.

-7.297 eV per atom